(1)
Pr3Sm3Zn2 | GGA-PBE | optimized geometry

For the energy, the calculation gives -3.9557 eV per atom.

abc: 5.200 11.796 15.731
angles: 90.00 90.00 90.00
Space group Cmcm (No. 63)
Inequivalent atoms, fractional coordinates:
Pr: 0.000 0.029 0.109 (multiplicity 8)
Pr: 0.000 0.276 0.250 (multiplicity 4)
Sm: 0.000 0.351 0.025 (multiplicity 8)
Sm: 0.000 0.446 0.750 (multiplicity 4)
Zn: 0.000 0.233 0.640 (multiplicity 8)


(2)
Cr2CuPt | GGA-PBE | optimized geometry

For the energy, the calculation gives -7.2347 eV per atom.

abc: 2.617 2.617 7.558
angles: 90.00 90.00 90.00
Space group P4mm (No. 99)
Inequivalent atoms, fractional coordinates:
Cr: 0.000 0.000 0.000 (multiplicity 1)
Cr: 0.500 0.500 0.250 (multiplicity 1)
Cu: 0.000 0.000 0.490 (multiplicity 1)
Pt: 0.500 0.500 0.756 (multiplicity 1)


(3)
Rb4Pa3PtS8 | GGA-PBE | optimized geometry

For the energy, the calculation gives -5.7100 eV per atom. Its energy relative to the elements, uncorrected is -1.246 eV/atom.

abc: 14.721 7.655 9.120
angles: 90.00 121.14 90.00
Space group C2/m (No. 12)
Inequivalent atoms, fractional coordinates:
Rb: 0.000 0.000 0.000 (multiplicity 2)
Rb: 0.000 0.500 0.000 (multiplicity 2)
Rb: 0.250 0.250 0.000 (multiplicity 4)
Pa: 0.000 0.000 0.500 (multiplicity 2)
Pa: 0.250 0.250 0.500 (multiplicity 4)
Pt: 0.000 0.500 0.500 (multiplicity 2)
S: 0.027 0.266 0.326 (multiplicity 8)
S: 0.222 0.000 0.694 (multiplicity 4)
S: 0.235 0.000 0.279 (multiplicity 4)


(4)
Pm2Sm5DyMg | GGA-PBE | optimized geometry

For the energy, the calculation gives -4.2744 eV per atom.

abc: 5.520 20.247 10.715
angles: 90.00 90.00 90.00
Space group Cmcm (No. 63)
Inequivalent atoms, fractional coordinates:
Pm: 0.000 0.115 0.039 (multiplicity 8)
Sm: 0.000 0.015 0.750 (multiplicity 4)
Sm: 0.000 0.289 0.051 (multiplicity 8)
Sm: 0.000 0.381 0.750 (multiplicity 4)
Sm: 0.000 0.500 0.000 (multiplicity 4)
Dy: 0.000 0.203 0.750 (multiplicity 4)
Mg: 0.000 0.404 0.250 (multiplicity 4)


(5)
TaIn2Ge | GGA-PBE | optimized geometry

For the energy, the calculation gives -4.8969 eV per atom.

abc: 7.930 7.930 5.593
angles: 90.00 90.00 90.00
Space group I-42d (No. 122)
Inequivalent atoms, fractional coordinates:
Ta: 0.000 0.000 0.000 (multiplicity 4)
In: 0.239 0.750 0.625 (multiplicity 8)
Ge: 0.000 0.000 0.500 (multiplicity 4)


(6)
LaPrBr5 | GGA-PBE | optimized geometry

For the energy, the calculation gives -4.4568 eV per atom. Its energy relative to the elements, uncorrected is -1.875 eV/atom.

abc: 8.047 4.239 13.708
angles: 90.00 90.02 90.00
Space group P2_1/m (No. 11)
Inequivalent atoms, fractional coordinates:
La: 0.072 0.250 0.162 (multiplicity 2)
Pr: 0.423 0.750 0.343 (multiplicity 2)
Br: 0.048 0.750 0.322 (multiplicity 2)
Br: 0.149 0.250 0.932 (multiplicity 2)
Br: 0.312 0.250 0.488 (multiplicity 2)
Br: 0.340 0.750 0.725 (multiplicity 2)
Br: 0.341 0.750 0.126 (multiplicity 2)


(7)
Na5PmTl6 | GGA-PBE | optimized geometry

For the energy, the calculation gives -2.2766 eV per atom.

abc: 5.265 8.011 8.363
angles: 90.00 108.16 90.00
Space group P2/m (No. 10)
Inequivalent atoms, fractional coordinates:
Na: 0.000 0.000 0.000 (multiplicity 1)
Na: 0.337 0.000 0.660 (multiplicity 2)
Na: 0.341 0.500 0.666 (multiplicity 2)
Pm: 0.000 0.500 0.000 (multiplicity 1)
Tl: 0.158 0.257 0.337 (multiplicity 4)
Tl: 0.500 0.243 0.000 (multiplicity 2)


(8)
Sm2HoTe2S2 | GGA-PBE | optimized geometry

For the energy, the calculation gives -5.5273 eV per atom. Its energy relative to the elements, uncorrected is -1.448 eV/atom.

abc: 5.036 5.036 15.911
angles: 90.00 90.00 90.00
Space group I4/mmm (No. 139)
Inequivalent atoms, fractional coordinates:
Sm: 0.000 0.000 0.114 (multiplicity 4)
Ho: 0.000 0.000 0.500 (multiplicity 2)
Te: 0.000 0.000 0.313 (multiplicity 4)
S: 0.000 0.500 0.000 (multiplicity 4)


(9)
PmBiO | GGA-PBE | optimized geometry

For the energy, the calculation gives -6.5511 eV per atom. The calculation puts the polymorph energy (0 for the lowest one) at 0 kJ/mol of formula units. Its energy relative to the elements, uncorrected is -2.021 eV/atom.

abc: 3.967 3.976 9.405
angles: 88.28 88.00 89.92
Space group P-1 (No. 2)
Inequivalent atoms, fractional coordinates:
Pm: 0.241 0.242 0.125 (multiplicity 2)
Bi: 0.280 0.275 0.617 (multiplicity 2)
O: 0.249 0.750 0.000 (multiplicity 2)


(10)
AsPtSe4 | GGA-PBE | optimized geometry

For the energy, the calculation gives -3.1524 eV per atom. The calculation puts the polymorph energy (0 for the lowest one) at 671 kJ/mol of formula units. Its energy relative to the elements, uncorrected is 0.952 eV/atom.

abc: 7.901 7.901 7.901
angles: 90.00 90.00 90.00
Space group F-43m (No. 216)
Inequivalent atoms, fractional coordinates:
As: 0.000 0.000 0.000 (multiplicity 4)
Pt: 0.250 0.250 0.750 (multiplicity 4)
Se: 0.124 0.124 0.376 (multiplicity 16)


- Which formula does entry 10 have?
  AsPtSe4


Repeat the seventh record exactly.
Na5PmTl6 | GGA-PBE | optimized geometry

For the energy, the calculation gives -2.2766 eV per atom.

abc: 5.265 8.011 8.363
angles: 90.00 108.16 90.00
Space group P2/m (No. 10)
Inequivalent atoms, fractional coordinates:
Na: 0.000 0.000 0.000 (multiplicity 1)
Na: 0.337 0.000 0.660 (multiplicity 2)
Na: 0.341 0.500 0.666 (multiplicity 2)
Pm: 0.000 0.500 0.000 (multiplicity 1)
Tl: 0.158 0.257 0.337 (multiplicity 4)
Tl: 0.500 0.243 0.000 (multiplicity 2)


- Among the records above, which one has the highest energy?
  Na5PmTl6


- Number 9 is which compound?
  PmBiO